VASP calculation (PBE-GGA) on an optimized crystal structure of ZnGeOF2.

## Properties
relative energy among the computed polymorphs: 0.158 eV/atom

```
data_ZnGeOF2
_cell_length_a 4.285
_cell_length_b 4.285
_cell_length_c 3.735
_cell_angle_alpha 90.00
_cell_angle_beta 90.00
_cell_angle_gamma 90.00
_symmetry_space_group_name_H-M 'P 4/m m m'
_symmetry_Int_Tables_number 123
_symmetry_space_group_name_Hall '-P 4 2'
loop_
_atom_site_label
_atom_site_type_symbol
_atom_site_fract_x
_atom_site_fract_y
_atom_site_fract_z
Zn1 Zn 0.000 0.000 0.000
Ge1 Ge 0.500 0.500 0.500
O1 O 0.500 0.500 0.000
F1 F 0.000 0.500 0.500
```



VASP calculation (PBE-GGA) on an optimized crystal structure of ZnGeO2F.

```
data_ZnGeO2F
_cell_length_a 3.805
_cell_length_b 3.805
_cell_length_c 3.995
_cell_angle_alpha 90.00
_cell_angle_beta 90.00
_cell_angle_gamma 90.00
_symmetry_space_group_name_H-M 'P 4/m m m'
_symmetry_Int_Tables_number 123
_symmetry_space_group_name_Hall '-P 4 2'
loop_
_atom_site_label
_atom_site_type_symbol
_atom_site_fract_x
_atom_site_fract_y
_atom_site_fract_z
Zn1 Zn 0.000 0.000 0.000
Ge1 Ge 0.500 0.500 0.500
O1 O 0.000 0.500 0.500
F1 F 0.500 0.500 0.000
```



Ordered energy relative to the elements, uncorrected results: -1.184, -1.060; unit eV per atom.